# 1
Computed, not measured: an optimized crystal structure of ZrCdCuO2 at the PBE-GGA level of DFT.

Properties
Fermi-level density of states (states/eV/atom): 0.635
E_form (uncorrected) (meV per atom): 25

a b c (Å): 4.021 4.021 4.684
angles (deg): 90.00 90.00 90.00
Element x y z (fractional)
Zr  0.000  0.000  0.000
Cd  0.500  0.500  0.000
Cu  0.500  0.500  0.500
O  0.000  0.500  0.500
O  0.500  0.000  0.500

***

# 2
Computed, not measured: an optimized crystal structure of LiCeSn2Br8 at the PBE-GGA level of DFT.

Properties
Fermi-level density of states (states/eV/atom): 0.692
E_form (uncorrected) (meV per atom): -1213

a b c (Å): 6.825 8.607 7.193
angles (deg): 90.00 92.27 90.00
Element x y z (fractional)
Li  0.000  0.000  0.000
Ce  0.000  0.500  0.000
Sn  0.500  0.238  0.500
Sn  0.500  0.762  0.500
Br  0.225  0.236  0.157
Br  0.225  0.764  0.157
Br  0.246  0.500  0.676
Br  0.268  0.000  0.662
Br  0.732  0.000  0.338
Br  0.754  0.500  0.324
Br  0.775  0.236  0.843
Br  0.775  0.764  0.843

***

# 3
Computed, not measured: an optimized crystal structure of Tb2Pr2Sm4Dy at the PBE-GGA level of DFT.

Properties
ΔE_f (eV per atom): 0.005
Fermi-level density of states (states/eV/atom): 1.291

a b c (Å): 9.650 9.650 9.712
angles (deg): 115.13 115.13 21.85
Element x y z (fractional)
Tb  0.147  0.147  0.165
Tb  0.853  0.853  0.835
Pr  0.335  0.335  0.502
Pr  0.665  0.665  0.498
Sm  0.186  0.186  0.834
Sm  0.481  0.481  0.166
Sm  0.519  0.519  0.834
Sm  0.814  0.814  0.166
Dy  0.000  0.000  0.500

***

# 4
Computed, not measured: an optimized crystal structure of BaGaN at the PBE-GGA level of DFT.

Properties
Fermi-level density of states (states/eV/atom): 0.447
E_form (uncorrected) (meV per atom): -311

a b c (Å): 7.933 7.933 4.394
angles (deg): 99.16 99.16 32.98
Element x y z (fractional)
Ba  0.000  0.000  0.000
Ba  0.710  0.710  0.349
Ga  0.317  0.317  0.885
Ga  0.399  0.399  0.435
N  0.119  0.119  0.556
N  0.175  0.175  0.803

***

# 5
Computed, not measured: an optimized crystal structure of Sc3TiSi at the PBE-GGA level of DFT.

Properties
Offset from the most stable computed form (eV per formula unit): 2.27
Fermi-level density of states (states/eV/atom): 0.953
E_form (uncorrected) (meV per atom): 709

a b c (Å): 4.858 4.858 4.858
angles (deg): 90.00 90.00 90.00
Element x y z (fractional)
Sc  0.000  0.000  0.500
Sc  0.000  0.500  0.000
Sc  0.500  0.000  0.000
Ti  0.000  0.000  0.000
Si  0.500  0.500  0.500

***

# 6
Computed, not measured: an optimized crystal structure of In7Ag6 at the PBE-GGA level of DFT.

Properties
ΔE_f (eV per atom): 0.226
Fermi-level density of states (states/eV/atom): 0.728

a b c (Å): 9.852 9.852 9.852
angles (deg): 37.27 37.27 37.27
Element x y z (fractional)
In  0.000  0.000  0.000
In  0.087  0.087  0.573
In  0.087  0.573  0.087
In  0.427  0.913  0.913
In  0.573  0.087  0.087
In  0.913  0.427  0.913
In  0.913  0.913  0.427
Ag  0.165  0.165  0.165
Ag  0.340  0.340  0.340
Ag  0.443  0.443  0.443
Ag  0.557  0.557  0.557
Ag  0.660  0.660  0.660
Ag  0.835  0.835  0.835

***

# 7
Computed, not measured: an optimized crystal structure of Ac2URh3O12 at the PBE-GGA level of DFT.

Properties
Fermi-level density of states (states/eV/atom): 0.615
E_form (uncorrected) (meV per atom): -1809

a b c (Å): 6.802 6.802 6.802
angles (deg): 62.22 62.22 62.22
Element x y z (fractional)
Ac  0.116  0.116  0.116
Ac  0.884  0.884  0.884
U  0.500  0.500  0.500
Rh  0.000  0.500  0.500
Rh  0.500  0.000  0.500
Rh  0.500  0.500  0.000
O  0.087  0.640  0.640
O  0.238  0.238  0.640
O  0.238  0.640  0.238
O  0.360  0.360  0.913
O  0.360  0.762  0.762
O  0.360  0.913  0.360
O  0.640  0.087  0.640
O  0.640  0.238  0.238
O  0.640  0.640  0.087
O  0.762  0.360  0.762
O  0.762  0.762  0.360
O  0.913  0.360  0.360

***

# 8
Computed, not measured: an optimized crystal structure of CaAlIr2 at the PBE-GGA level of DFT.

Properties
ΔE_f (eV per atom): -0.176
Fermi-level density of states (states/eV/atom): 0.806

a b c (Å): 5.315 5.315 5.315
angles (deg): 146.54 123.37 67.40
Element x y z (fractional)
Ca  0.000  0.000  0.000
Al  0.500  0.500  0.000
Ir  0.279  0.779  0.500
Ir  0.721  0.221  0.500

***

# 9
Computed, not measured: an optimized crystal structure of DyHoAu at the PBE-GGA level of DFT.

Properties
Offset from the most stable computed form (eV per formula unit): 0.28
ΔE_f (eV per atom): -0.549
Fermi-level density of states (states/eV/atom): 1.338

a b c (Å): 6.917 7.120 6.823
angles (deg): 90.00 90.35 90.00
Element x y z (fractional)
Dy  0.115  0.085  0.251
Dy  0.115  0.415  0.751
Dy  0.885  0.585  0.249
Dy  0.885  0.915  0.749
Ho  0.445  0.749  0.500
Ho  0.445  0.751  0.000
Ho  0.555  0.249  0.000
Ho  0.555  0.251  0.500
Au  0.280  0.036  0.748
Au  0.280  0.464  0.248
Au  0.720  0.536  0.752
Au  0.720  0.964  0.252

***

# 10
Computed, not measured: an optimized crystal structure of TbDyRhBr at the PBE-GGA level of DFT.

Properties
Fermi-level density of states (states/eV/atom): 0.095
E_form (uncorrected) (meV per atom): -1075

a b c (Å): 8.065 8.065 8.065
angles (deg): 28.71 28.71 28.71
Element x y z (fractional)
Tb  0.000  0.000  0.000
Dy  0.206  0.206  0.206
Rh  0.603  0.603  0.603
Br  0.774  0.774  0.774

***

# 11
Computed, not measured: an optimized crystal structure of Na2TlHAu at the PBE-GGA level of DFT.

Properties
Offset from the most stable computed form (eV per formula unit): 0.09
Fermi-level density of states (states/eV/atom): 0.265

a b c (Å): 4.537 4.537 4.941
angles (deg): 90.00 90.00 90.00
Element x y z (fractional)
Na  0.000  0.500  0.000
Na  0.500  0.000  0.000
Tl  0.000  0.000  0.500
H  0.000  0.000  0.000
Au  0.500  0.500  0.500

***

# 12
Computed, not measured: an optimized crystal structure of TiAlMoH2 at the PBE-GGA level of DFT.

Properties
Offset from the most stable computed form (eV per formula unit): 0.00
Fermi-level density of states (states/eV/atom): 0.717

a b c (Å): 3.629 3.629 5.022
angles (deg): 90.00 90.00 90.00
Element x y z (fractional)
Ti  0.000  0.000  0.000
Al  0.500  0.500  0.500
Mo  0.000  0.000  0.500
H  0.000  0.500  0.000
H  0.500  0.000  0.000

***

These records have theoretical density values of 6.56, 4.03, 7.46, 4.95, 3.05, 7.66, 8.48, 10.99, 10.37, 7.82, 7.32, 4.34 Mg/m³, in the order they appear.
These records have spin magnetization values of 0.000, 0.083, 0.000, 0.000, 0.000, 0.000, 0.000, 0.000, 0.000, 0.000, 0.000, 0.000 μB per atom, in the order they appear.